[1]
## Ac3NpTl4Se8 (PBE)

Data for Ac3NpTl4Se8 after structural relaxation.

Geometry as POSCAR:
```
Ac3NpTl4Se8
1.0
9.000 0.000 0.000
0.000 9.287 0.195
-4.500 -4.496 6.368
Se Ac Tl Np
8 3 4 1
Direct
0.770 0.288 0.018 Se
0.770 0.288 0.539 Se
0.740 0.720 0.480 Se
0.752 0.712 0.982 Se
0.230 0.712 0.982 Se
0.260 0.280 0.520 Se
0.248 0.288 0.018 Se
0.230 0.712 0.461 Se
0.500 0.500 0.000 Ac
0.000 0.500 0.500 Ac
0.500 0.500 0.500 Ac
0.000 0.000 0.000 Tl
0.500 0.000 0.500 Tl
0.500 0.000 0.000 Tl
0.000 0.000 0.500 Tl
0.000 0.500 0.000 Np
```

Results
E_form (uncorrected) ... -1.289 eV/atom
DOS at the Fermi energy ... 0.265 states/eV/atom
Magnetization ... 4.0 μB/f.u.
SG ... No. 166
DFT total energy ... -5.202 eV per atom

=====

[2]
## Ac2TmNpSe6 (PBE)

Data for Ac2TmNpSe6 after structural relaxation.

Geometry as POSCAR:
```
Ac2TmNpSe6
1.0
7.582 0.000 0.000
3.791 6.566 0.000
3.791 2.189 6.542
Ac Np Se Tm
2 1 6 1
Direct
0.026 0.026 0.923 Ac
0.527 0.527 0.418 Ac
0.818 0.818 0.547 Np
0.681 0.102 0.767 Se
0.102 0.451 0.767 Se
0.592 0.187 0.261 Se
0.187 0.960 0.261 Se
0.960 0.592 0.261 Se
0.451 0.681 0.767 Se
0.319 0.319 0.044 Tm
```

Results
E_form (uncorrected) ... -1.702 eV/atom
DOS at the Fermi energy ... 0.639 states/eV/atom
Magnetization ... 4.0 μB/f.u.
SG ... No. 146
DFT total energy ... -6.355 eV per atom

=====

[3]
## AcNpSi (PBE)

Data for AcNpSi after structural relaxation.

Geometry as POSCAR:
```
AcNpSi
1.0
-1.247 -2.242 2.730
0.268 -2.043 -4.125
10.576 1.933 6.417
Np Ac Si
2 2 2
Direct
0.323 0.647 0.970 Np
0.677 0.353 0.030 Np
0.517 0.035 0.332 Ac
0.483 0.965 0.668 Ac
0.926 0.853 0.843 Si
0.074 0.147 0.157 Si
```

Results
E_form (uncorrected) ... -0.207 eV/atom
DOS at the Fermi energy ... 1.697 states/eV/atom
Magnetization ... 1.4 μB/f.u.
SG ... No. 12
DFT total energy ... -7.697 eV per atom

=====

[4]
## AcNpSi4 (PBE)

Data for AcNpSi4 after structural relaxation.

Geometry as POSCAR:
```
AcNpSi4
1.0
4.241 0.000 0.000
0.000 7.924 0.000
0.000 0.000 15.396
Si Np Ac
16 4 4
Direct
0.500 0.874 0.042 Si
0.500 0.874 0.452 Si
0.500 0.528 0.805 Si
0.500 0.472 0.195 Si
0.500 0.028 0.695 Si
0.500 0.374 0.048 Si
0.500 0.777 0.191 Si
0.500 0.626 0.542 Si
0.500 0.277 0.309 Si
0.500 0.972 0.305 Si
0.500 0.374 0.458 Si
0.500 0.223 0.809 Si
0.500 0.626 0.952 Si
0.500 0.723 0.691 Si
0.500 0.126 0.958 Si
0.500 0.126 0.548 Si
0.000 0.377 0.916 Np
0.000 0.123 0.416 Np
0.000 0.623 0.084 Np
0.000 0.877 0.584 Np
0.000 0.881 0.847 Ac
0.000 0.381 0.653 Ac
0.000 0.619 0.347 Ac
0.000 0.119 0.153 Ac
```

Results
E_form (uncorrected) ... -0.312 eV/atom
DOS at the Fermi energy ... 1.736 states/eV/atom
Magnetization ... 4.1 μB/f.u.
SG ... No. 55
DFT total energy ... -6.769 eV per atom

=====

[5]
## Ac3NpSn12 (PBE)

Data for Ac3NpSn12 after structural relaxation.

Geometry as POSCAR:
```
Ac3NpSn12
1.0
4.852 0.000 0.000
0.000 4.852 0.000
0.000 0.000 19.389
Ac Sn Np
3 12 1
Direct
0.000 0.000 0.758 Ac
0.000 0.000 0.242 Ac
0.000 0.000 0.500 Ac
0.500 0.500 0.244 Sn
0.500 0.500 0.756 Sn
0.500 0.000 0.371 Sn
0.000 0.500 0.629 Sn
0.500 0.000 0.114 Sn
0.500 0.000 0.629 Sn
0.500 0.500 0.500 Sn
0.000 0.500 0.886 Sn
0.000 0.500 0.371 Sn
0.000 0.500 0.114 Sn
0.500 0.500 0.000 Sn
0.500 0.000 0.886 Sn
0.000 0.000 0.000 Np
```

Results
DOS at the Fermi energy ... 1.083 states/eV/atom
Magnetization ... 4.3 μB/f.u.
Formation energy ... -0.413 eV/atom
SG ... No. 123
DFT total energy ... -4.994 eV per atom

=====

[6]
## AcNpSn2 (PBE)

Data for AcNpSn2 after structural relaxation.

Geometry as POSCAR:
```
AcNpSn2
1.0
3.576 0.000 0.000
0.000 3.576 0.000
0.000 0.000 9.186
Sn Ac Np
2 1 1
Direct
0.000 0.000 0.767 Sn
0.000 0.000 0.233 Sn
0.500 0.500 0.500 Ac
0.500 0.500 0.000 Np
```

Results
DOS at the Fermi energy ... 1.629 states/eV/atom
Magnetization ... 4.5 μB/f.u.
Formation energy ... -0.252 eV/atom
SG ... No. 123
DFT total energy ... -6.516 eV per atom

=====

[7]
## Ac5NpTe8 (PBE)

Data for Ac5NpTe8 after structural relaxation.

Geometry as POSCAR:
```
Ac5NpTe8
1.0
8.095 0.000 -2.810
-4.027 6.994 -2.879
-0.042 0.000 8.569
Ac Te Np
5 8 1
Direct
0.500 0.000 0.500 Ac
0.000 0.374 0.126 Ac
0.874 0.874 0.248 Ac
0.374 0.126 0.000 Ac
0.752 0.626 0.626 Ac
0.616 0.894 0.870 Te
0.784 0.252 0.378 Te
0.622 0.406 0.874 Te
0.278 0.255 0.384 Te
0.130 0.745 0.023 Te
0.977 0.106 0.722 Te
0.468 0.594 0.216 Te
0.126 0.748 0.532 Te
0.250 0.500 0.750 Np
```

Results
E_form (uncorrected) ... -1.424 eV/atom
DOS at the Fermi energy ... 1.438 states/eV/atom
Magnetization ... 5.7 μB/f.u.
SG ... No. 82
DFT total energy ... -5.611 eV per atom

=====

[8]
## Ac2NpTe4 (PBE)

Data for Ac2NpTe4 after structural relaxation.

Geometry as POSCAR:
```
Ac2NpTe4
1.0
-0.560 4.093 -1.793
-5.471 -0.617 5.953
10.320 5.831 10.088
Te Np Ac
8 2 4
Direct
0.218 0.437 0.872 Te
0.782 0.563 0.128 Te
0.500 0.000 0.500 Te
0.782 0.563 0.372 Te
0.218 0.437 0.628 Te
0.018 0.037 0.250 Te
0.982 0.963 0.750 Te
0.500 0.000 0.000 Te
0.374 0.748 0.250 Np
0.626 0.252 0.750 Np
0.134 0.267 0.426 Ac
0.134 0.267 0.074 Ac
0.866 0.733 0.574 Ac
0.866 0.733 0.926 Ac
```

Results
E_form (uncorrected) ... -1.169 eV/atom
DOS at the Fermi energy ... 1.517 states/eV/atom
Magnetization ... 4.5 μB/f.u.
SG ... No. 63
DFT total energy ... -5.986 eV per atom

=====

[9]
## AcNpTe3 (PBE)

Data for AcNpTe3 after structural relaxation.

Geometry as POSCAR:
```
AcNpTe3
1.0
-3.391 -0.423 3.116
-2.840 -6.931 -4.030
10.428 -10.077 9.982
Np Te Ac
4 12 4
Direct
0.750 0.226 0.460 Np
0.250 0.774 0.540 Np
0.250 0.274 0.960 Np
0.750 0.726 0.040 Np
0.250 0.658 0.713 Te
0.750 0.623 0.442 Te
0.250 0.877 0.942 Te
0.750 0.342 0.287 Te
0.250 0.508 0.104 Te
0.250 0.008 0.396 Te
0.750 0.992 0.604 Te
0.750 0.123 0.058 Te
0.250 0.377 0.558 Te
0.250 0.158 0.787 Te
0.750 0.492 0.896 Te
0.750 0.842 0.213 Te
0.250 0.133 0.199 Ac
0.750 0.367 0.699 Ac
0.250 0.633 0.301 Ac
0.750 0.867 0.801 Ac
```

Results
E_form (uncorrected) ... -1.120 eV/atom
DOS at the Fermi energy ... 2.237 states/eV/atom
Energy above the most stable polymorph in this dataset ... 0.0 meV per atom
Magnetization ... 4.0 μB/f.u.
SG ... No. 62
DFT total energy ... -6.415 eV per atom

=====

[10]
## Ac3NpTe6 (PBE)

Data for Ac3NpTe6 after structural relaxation.

Geometry as POSCAR:
```
Ac3NpTe6
1.0
-2.427 -0.616 7.833
-6.838 -4.656 1.705
0.948 -7.432 3.900
Np Ac Te
1 3 6
Direct
0.500 0.500 0.500 Np
0.300 0.250 0.250 Ac
0.000 0.000 0.000 Ac
0.700 0.750 0.750 Ac
0.110 0.740 0.740 Te
0.890 0.260 0.260 Te
0.655 0.834 0.340 Te
0.345 0.166 0.660 Te
0.655 0.340 0.834 Te
0.345 0.660 0.166 Te
```

Results
E_form (uncorrected) ... -1.183 eV/atom
DOS at the Fermi energy ... 0.531 states/eV/atom
Magnetization ... 4.0 μB/f.u.
SG ... No. 12
DFT total energy ... -5.594 eV per atom

=====

[11]
## AcNpTe3 (PBE)

Data for AcNpTe3 after structural relaxation.

Geometry as POSCAR:
```
AcNpTe3
1.0
5.829 0.000 0.000
0.000 7.609 0.000
0.000 -3.805 8.844
Te Np Ac
6 2 2
Direct
0.000 0.859 0.718 Te
0.000 0.141 0.282 Te
0.500 0.282 0.000 Te
0.500 0.718 0.000 Te
0.500 0.500 0.500 Te
0.500 0.000 0.500 Te
0.500 0.116 0.231 Np
0.500 0.884 0.769 Np
0.000 0.324 0.649 Ac
0.000 0.676 0.351 Ac
```

Results
E_form (uncorrected) ... -0.762 eV/atom
DOS at the Fermi energy ... 2.336 states/eV/atom
Energy above the most stable polymorph in this dataset ... 358.4 meV per atom
Magnetization ... 4.0 μB/f.u.
SG ... No. 65
DFT total energy ... -6.057 eV per atom

=====

[12]
## Ac2NpTe5 (PBE)

Data for Ac2NpTe5 after structural relaxation.

Geometry as POSCAR:
```
Ac2NpTe5
1.0
4.674 0.000 0.000
0.000 8.880 0.000
0.000 0.000 13.649
Te Ac Np
10 4 2
Direct
0.000 0.166 0.799 Te
0.000 0.500 0.000 Te
0.500 0.178 0.087 Te
0.000 0.834 0.201 Te
0.500 0.322 0.587 Te
0.000 0.334 0.299 Te
0.500 0.822 0.913 Te
0.000 0.666 0.701 Te
0.000 0.000 0.500 Te
0.500 0.678 0.413 Te
0.500 0.954 0.675 Ac
0.500 0.046 0.325 Ac
0.500 0.454 0.825 Ac
0.500 0.546 0.175 Ac
0.000 0.000 0.000 Np
0.000 0.500 0.500 Np
```

Results
E_form (uncorrected) ... -1.211 eV/atom
DOS at the Fermi energy ... 0.915 states/eV/atom
Magnetization ... 3.0 μB/f.u.
SG ... No. 55
DFT total energy ... -5.819 eV per atom

=====

Copy entry 9 word for word.
## AcNpTe3 (PBE)

Data for AcNpTe3 after structural relaxation.

Geometry as POSCAR:
```
AcNpTe3
1.0
-3.391 -0.423 3.116
-2.840 -6.931 -4.030
10.428 -10.077 9.982
Np Te Ac
4 12 4
Direct
0.750 0.226 0.460 Np
0.250 0.774 0.540 Np
0.250 0.274 0.960 Np
0.750 0.726 0.040 Np
0.250 0.658 0.713 Te
0.750 0.623 0.442 Te
0.250 0.877 0.942 Te
0.750 0.342 0.287 Te
0.250 0.508 0.104 Te
0.250 0.008 0.396 Te
0.750 0.992 0.604 Te
0.750 0.123 0.058 Te
0.250 0.377 0.558 Te
0.250 0.158 0.787 Te
0.750 0.492 0.896 Te
0.750 0.842 0.213 Te
0.250 0.133 0.199 Ac
0.750 0.367 0.699 Ac
0.250 0.633 0.301 Ac
0.750 0.867 0.801 Ac
```

Results
E_form (uncorrected) ... -1.120 eV/atom
DOS at the Fermi energy ... 2.237 states/eV/atom
Energy above the most stable polymorph in this dataset ... 0.0 meV per atom
Magnetization ... 4.0 μB/f.u.
SG ... No. 62
DFT total energy ... -6.415 eV per atom

=====

Question: What is the DFT total energy in the tenth record?
Answer: -5.594 eV per atom

=====

Question: The highest DFT total energy belongs to which entry?
Answer: Ac3NpSn12